Entry 1:
A plane-wave DFT calculation with GGA-PBEsol was carried out for an optimized crystal structure of Li2AgMoF.

- Formation energy without anion corrections: 0.72 eV per atom

Lattice parameters (Å, degrees): 4.685 4.685 5.208 90.00 90.00 90.00
Space group P4/mmm (No. 123)
Inequivalent atoms, fractional coordinates:
Li  0.000  0.500  0.000
Ag  0.000  0.000  0.000
Mo  0.000  0.000  0.500
F  0.500  0.500  0.500

Entry 2:
A plane-wave DFT calculation with GGA-PBEsol was carried out for an optimized crystal structure of LiScAgF2.

- Formation energy without anion corrections: -0.42 eV per atom

Lattice parameters (Å, degrees): 4.428 4.428 5.252 90.00 90.00 90.00
Space group P4/mmm (No. 123)
Inequivalent atoms, fractional coordinates:
Li  0.000  0.000  0.000
Sc  0.500  0.500  0.000
Ag  0.500  0.500  0.500
F  0.000  0.500  0.500

Entry 3:
A plane-wave DFT calculation with GGA-PBEsol was carried out for an optimized crystal structure of MgAgF3.

- Formation energy without anion corrections: -2.48 eV per atom

Lattice parameters (Å, degrees): 5.5188 5.5188 13.5443 90.00 90.00 120.00
Space group R-3c (No. 167, hexagonal axes)
Inequivalent atoms, fractional coordinates:
Mg  0.0000  0.0000  0.0000
Ag  0.0000  0.0000  0.2500
F  0.0000  0.4304  0.2500

Entry 4:
A plane-wave DFT calculation with GGA-PBEsol was carried out for an optimized crystal structure of MgAgF3.

- Formation energy without anion corrections: -2.45 eV per atom

Lattice parameters (Å, degrees): 3.912 3.912 3.912 90.00 90.00 90.00
Space group Pm-3m (No. 221)
Inequivalent atoms, fractional coordinates:
Mg  0.000  0.000  0.000
Ag  0.500  0.500  0.500
F  0.000  0.000  0.500

Entry 5:
A plane-wave DFT calculation with GGA-PBEsol was carried out for an optimized crystal structure of MgAgOF2.

- Formation energy without anion corrections: -1.04 eV per atom

Lattice parameters (Å, degrees): 4.193 4.193 4.088 90.00 90.00 90.00
Space group P4/mmm (No. 123)
Inequivalent atoms, fractional coordinates:
Mg  0.000  0.000  0.000
Ag  0.500  0.500  0.500
O  0.500  0.500  0.000
F  0.000  0.500  0.500

Entry 6:
A plane-wave DFT calculation with GGA-PBEsol was carried out for an optimized crystal structure of MgAg2SbF.

- Formation energy without anion corrections: -0.25 eV per atom

Lattice parameters (Å, degrees): 5.228 5.228 4.268 90.00 90.00 90.00
Space group P4/mmm (No. 123)
Inequivalent atoms, fractional coordinates:
Mg  0.000  0.000  0.000
Ag  0.000  0.500  0.500
Sb  0.500  0.500  0.500
F  0.500  0.500  0.000

Entry 7:
A plane-wave DFT calculation with GGA-PBEsol was carried out for an optimized crystal structure of MnAgF3.

- Formation energy without anion corrections: -1.64 eV per atom

Lattice parameters (Å, degrees): 4.065 4.065 4.065 90.00 90.00 90.00
Space group Pm-3m (No. 221)
Inequivalent atoms, fractional coordinates:
Mn  0.000  0.000  0.000
Ag  0.500  0.500  0.500
F  0.000  0.000  0.500

Entry 8:
A plane-wave DFT calculation with GGA-PBEsol was carried out for an optimized crystal structure of MnAgOF2.

- Formation energy without anion corrections: -0.47 eV per atom

Lattice parameters (Å, degrees): 4.182 4.182 4.072 90.00 90.00 90.00
Space group P4/mmm (No. 123)
Inequivalent atoms, fractional coordinates:
Mn  0.000  0.000  0.000
Ag  0.500  0.500  0.500
O  0.500  0.500  0.000
F  0.000  0.500  0.500

Entry 9:
A plane-wave DFT calculation with GGA-PBEsol was carried out for an optimized crystal structure of AgMo3F.

- Formation energy without anion corrections: 0.66 eV per atom

Lattice parameters (Å, degrees): 4.142 4.142 4.142 90.00 90.00 90.00
Space group Pm-3m (No. 221)
Inequivalent atoms, fractional coordinates:
Ag  0.000  0.000  0.000
Mo  0.000  0.500  0.500
F  0.500  0.500  0.500

Entry 10:
A plane-wave DFT calculation with GGA-PBEsol was carried out for an optimized crystal structure of Ag3MoF.

- Formation energy without anion corrections: 0.74 eV per atom

Lattice parameters (Å, degrees): 4.470 4.470 4.470 90.00 90.00 90.00
Space group Pm-3m (No. 221)
Inequivalent atoms, fractional coordinates:
Ag  0.000  0.000  0.500
Mo  0.500  0.500  0.500
F  0.000  0.000  0.000

Entry 11:
A plane-wave DFT calculation with GGA-PBEsol was carried out for an optimized crystal structure of AgMoN2F.

- Formation energy without anion corrections: -0.17 eV per atom

Lattice parameters (Å, degrees): 3.907 3.907 4.031 90.00 90.00 90.00
Space group P4/mmm (No. 123)
Inequivalent atoms, fractional coordinates:
Ag  0.000  0.000  0.000
Mo  0.500  0.500  0.500
N  0.000  0.500  0.500
F  0.500  0.500  0.000

Entry 12:
A plane-wave DFT calculation with GGA-PBEsol was carried out for an optimized crystal structure of AgMoO2F.

- Formation energy without anion corrections: -1.34 eV per atom

Lattice parameters (Å, degrees): 3.829 3.829 4.223 90.00 90.00 90.00
Space group P4/mmm (No. 123)
Inequivalent atoms, fractional coordinates:
Ag  0.000  0.000  0.000
Mo  0.500  0.500  0.500
O  0.000  0.500  0.500
F  0.500  0.500  0.000

Entry 13:
A plane-wave DFT calculation with GGA-PBEsol was carried out for an optimized crystal structure of AgPbN2F.

- Formation energy without anion corrections: 0.75 eV per atom

Lattice parameters (Å, degrees): 3.973 3.973 4.688 90.00 90.00 90.00
Space group P4/mmm (No. 123)
Inequivalent atoms, fractional coordinates:
Ag  0.000  0.000  0.000
Pb  0.500  0.500  0.500
N  0.000  0.500  0.000
F  0.000  0.000  0.500

Entry 14:
A plane-wave DFT calculation with GGA-PBEsol was carried out for an optimized crystal structure of ReAgNF2.

- Formation energy without anion corrections: 1.07 eV per atom

Lattice parameters (Å, degrees): 4.054 4.054 4.269 90.00 90.00 90.00
Space group P4/mmm (No. 123)
Inequivalent atoms, fractional coordinates:
Re  0.000  0.000  0.000
Ag  0.500  0.500  0.500
N  0.500  0.500  0.000
F  0.000  0.500  0.500

Entry 15:
A plane-wave DFT calculation with GGA-PBEsol was carried out for an optimized crystal structure of AgRuN2F.

- Formation energy without anion corrections: 0.33 eV per atom
- E above lowest polymorph: 0.000 eV/atom

Lattice parameters (Å, degrees): 3.760 3.760 4.245 90.00 90.00 90.00
Space group P4/mmm (No. 123)
Inequivalent atoms, fractional coordinates:
Ag  0.000  0.000  0.000
Ru  0.500  0.500  0.500
N  0.000  0.500  0.500
F  0.500  0.500  0.000

Entry 16:
A plane-wave DFT calculation with GGA-PBEsol was carried out for an optimized crystal structure of AgRuN2F.

- Formation energy without anion corrections: 1.79 eV per atom
- E above lowest polymorph: 1.465 eV/atom

Lattice parameters (Å, degrees): 3.974 3.974 3.976 90.00 90.00 90.00
Space group P4/mmm (No. 123)
Inequivalent atoms, fractional coordinates:
Ag  0.000  0.000  0.000
Ru  0.500  0.500  0.500
N  0.000  0.500  0.000
F  0.000  0.000  0.500

Entry 17:
A plane-wave DFT calculation with GGA-PBEsol was carried out for an optimized crystal structure of ScAgNF2.

- Formation energy without anion corrections: -0.21 eV per atom

Lattice parameters (Å, degrees): 3.761 3.761 6.533 90.00 90.00 90.00
Space group P4/mmm (No. 123)
Inequivalent atoms, fractional coordinates:
Sc  0.000  0.000  0.000
Ag  0.000  0.000  0.500
N  0.500  0.500  0.000
F  0.000  0.500  0.500

Entry 18:
A plane-wave DFT calculation with GGA-PBEsol was carried out for an optimized crystal structure of AgSeN2F.

- Formation energy without anion corrections: 1.72 eV per atom

Lattice parameters (Å, degrees): 3.946 3.946 5.426 90.00 90.00 90.00
Space group P4/mmm (No. 123)
Inequivalent atoms, fractional coordinates:
Ag  0.000  0.000  0.000
Se  0.000  0.000  0.500
N  0.000  0.500  0.000
F  0.500  0.500  0.500

Entry 19:
A plane-wave DFT calculation with GGA-PBEsol was carried out for an optimized crystal structure of SiAgN2F.

- Formation energy without anion corrections: 1.33 eV per atom

Lattice parameters (Å, degrees): 3.983 3.983 4.193 90.00 90.00 90.00
Space group P4/mmm (No. 123)
Inequivalent atoms, fractional coordinates:
Si  0.000  0.000  0.000
Ag  0.500  0.500  0.500
N  0.000  0.500  0.500
F  0.500  0.500  0.000

Entry 20:
A plane-wave DFT calculation with GGA-PBEsol was carried out for an optimized crystal structure of YAgNF2.

- Formation energy without anion corrections: -0.90 eV per atom

Lattice parameters (Å, degrees): 4.115 4.115 4.248 90.00 90.00 90.00
Space group P4/mmm (No. 123)
Inequivalent atoms, fractional coordinates:
Y  0.000  0.000  0.000
Ag  0.500  0.500  0.500
N  0.500  0.500  0.000
F  0.000  0.500  0.500

Entry 21:
A plane-wave DFT calculation with GGA-PBEsol was carried out for an optimized crystal structure of ZnAgN2F.

- Formation energy without anion corrections: 0.87 eV per atom

Lattice parameters (Å, degrees): 3.854 3.854 4.079 90.00 90.00 90.00
Space group P4/mmm (No. 123)
Inequivalent atoms, fractional coordinates:
Zn  0.000  0.000  0.000
Ag  0.500  0.500  0.500
N  0.000  0.500  0.000
F  0.000  0.000  0.500

Entry 22:
A plane-wave DFT calculation with GGA-PBEsol was carried out for an optimized crystal structure of ZrAgNF2.

- Formation energy without anion corrections: -0.22 eV per atom

Lattice parameters (Å, degrees): 4.089 4.089 4.151 90.00 90.00 90.00
Space group P4/mmm (No. 123)
Inequivalent atoms, fractional coordinates:
Zr  0.000  0.000  0.000
Ag  0.500  0.500  0.500
N  0.500  0.500  0.000
F  0.000  0.500  0.500

Entry 23:
A plane-wave DFT calculation with GGA-PBEsol was carried out for an optimized crystal structure of ZrAgN2F.

- Formation energy without anion corrections: -0.43 eV per atom

Lattice parameters (Å, degrees): 4.181 4.181 4.102 90.00 90.00 90.00
Space group P4/mmm (No. 123)
Inequivalent atoms, fractional coordinates:
Zr  0.000  0.000  0.000
Ag  0.500  0.500  0.500
N  0.000  0.500  0.000
F  0.000  0.000  0.500

Entry 24:
A plane-wave DFT calculation with GGA-PBEsol was carried out for an optimized crystal structure of Na2AgF4.

- Formation energy without anion corrections: -2.05 eV per atom

Lattice parameters (Å, degrees): 3.326 10.351 6.134 90.00 114.74 90.00
Space group P2_1/c (No. 14)
Inequivalent atoms, fractional coordinates:
Na  0.249  0.150  0.465
Ag  0.500  0.000  0.000
F  0.065  0.561  0.794
F  0.469  0.671  0.316

Entry 25:
A plane-wave DFT calculation with GGA-PBEsol was carried out for an optimized crystal structure of NaAgTe2F.

- Formation energy without anion corrections: 0.53 eV per atom

Lattice parameters (Å, degrees): 5.281 5.281 5.043 90.00 90.00 90.00
Space group P4/mmm (No. 123)
Inequivalent atoms, fractional coordinates:
Na  0.000  0.000  0.000
Ag  0.000  0.000  0.500
Te  0.000  0.500  0.000
F  0.500  0.500  0.500

Entry 26:
A plane-wave DFT calculation with GGA-PBEsol was carried out for an optimized crystal structure of Nb2AgOsF.

- Formation energy without anion corrections: 2.26 eV per atom

Lattice parameters (Å, degrees): 4.895 4.895 4.750 90.00 90.00 90.00
Space group P4/mmm (No. 123)
Inequivalent atoms, fractional coordinates:
Nb  0.000  0.500  0.000
Ag  0.000  0.000  0.000
Os  0.000  0.000  0.500
F  0.500  0.500  0.500

Entry 27:
A plane-wave DFT calculation with GGA-PBEsol was carried out for an optimized crystal structure of Nb2AgPbF.

- Formation energy without anion corrections: 0.12 eV per atom

Lattice parameters (Å, degrees): 4.203 4.203 5.160 90.00 90.00 90.00
Space group P4/mmm (No. 123)
Inequivalent atoms, fractional coordinates:
Nb  0.000  0.500  0.000
Ag  0.000  0.000  0.500
Pb  0.500  0.500  0.500
F  0.500  0.500  0.000

Entry 28:
A plane-wave DFT calculation with GGA-PBEsol was carried out for an optimized crystal structure of Rb2NdAgF6.

- Formation energy without anion corrections: -2.84 eV per atom

Lattice parameters (Å, degrees): 9.255 9.255 9.255 90.00 90.00 90.00
Space group Fm-3m (No. 225)
Inequivalent atoms, fractional coordinates:
Rb  0.250  0.250  0.250
Nd  0.000  0.000  0.000
Ag  0.000  0.000  0.500
F  0.000  0.000  0.242

Calculated M_tot (μB per atom), listed in the same order as above: 0.842; 0.248; 0.000; 0.000; 0.000; 0.000; 0.958; 1.013; 0.000; 0.899; 0.000; 0.000; 0.449; 0.879; 0.000; 0.640; 0.000; 0.906; 0.386; 0.000; 0.533; 0.187; 0.153; 0.143; 0.146; 0.082; 0.000; 0.000